Entry 1:
Below is a crystal of LiIBrCl2 relaxed with PBEsol, with properties calculated at the SCAN level. Values from VASP.

The structure in Quantum ESPRESSO input format:
```
&SYSTEM
  ibrav = 0, nat = 5, ntyp = 4
/
ATOMIC_SPECIES
Li 6.94 Li.upf
I 126.90 I.upf
Br 79.90 Br.upf
Cl 35.45 Cl.upf
CELL_PARAMETERS angstrom
5.155 0.000 0.000
0.000 5.155 0.000
0.000 0.000 5.982
ATOMIC_POSITIONS crystal
Li 0.000 0.000 0.000
I 0.500 0.500 0.000
Br 0.500 0.500 0.500
Cl 0.000 0.500 0.500
Cl 0.500 0.000 0.500
```

Density of states at the Fermi level in states/eV per atom: 0.40
SG: P4/mmm
V in Å³/cell: 159.0
Energy in eV/atom: -15.16


Entry 2:
Below is a crystal of Li2CdSi relaxed with PBEsol, with properties calculated at the SCAN level. Values from VASP.

The structure in Quantum ESPRESSO input format:
```
&SYSTEM
  ibrav = 0, nat = 8, ntyp = 3
/
ATOMIC_SPECIES
Li 6.94 Li.upf
Cd 112.41 Cd.upf
Si 28.09 Si.upf
CELL_PARAMETERS angstrom
-3.653 3.653 2.683
3.653 -3.653 2.683
3.653 3.653 -2.683
ATOMIC_POSITIONS crystal
Li 0.108 0.125 0.483
Li 0.375 0.892 0.017
Li 0.642 0.625 0.517
Li 0.875 0.358 0.983
Cd 0.250 0.750 0.500
Cd 0.500 0.500 0.000
Si 0.000 0.000 0.000
Si 0.750 0.250 0.500
```

Density of states at the Fermi level in states/eV per atom: 0.26
SG: I-42d
V in Å³/cell: 143.2
Energy in eV/atom: -11.15


Entry 3:
Below is a crystal of PRu2Br relaxed with PBEsol, with properties calculated at the SCAN level. Values from VASP.

The structure in Quantum ESPRESSO input format:
```
&SYSTEM
  ibrav = 0, nat = 4, ntyp = 3
/
ATOMIC_SPECIES
P 30.97 P.upf
Ru 101.07 Ru.upf
Br 79.90 Br.upf
CELL_PARAMETERS angstrom
-1.793 1.793 4.459
1.793 -1.793 4.459
1.793 1.793 -4.459
ATOMIC_POSITIONS crystal
P 0.000 0.000 0.000
Ru 0.500 0.500 0.000
Ru 0.750 0.250 0.500
Br 0.250 0.750 0.500
```

Density of states at the Fermi level in states/eV per atom: 1.00
SG: I-4m2
V in Å³/cell: 57.4
Energy in eV/atom: -23.96


Entry 4:
Below is a crystal of Zn2TeIr relaxed with PBEsol, with properties calculated at the SCAN level. Values from VASP.

The structure in Quantum ESPRESSO input format:
```
&SYSTEM
  ibrav = 0, nat = 4, ntyp = 3
/
ATOMIC_SPECIES
Zn 65.41 Zn.upf
Te 127.60 Te.upf
Ir 192.22 Ir.upf
CELL_PARAMETERS angstrom
-1.982 1.982 4.148
1.982 -1.982 4.148
1.982 1.982 -4.148
ATOMIC_POSITIONS crystal
Zn 0.250 0.750 0.500
Zn 0.750 0.250 0.500
Te 0.000 0.000 0.000
Ir 0.500 0.500 0.000
```

Density of states at the Fermi level in states/eV per atom: 0.40
SG: I4/mmm
V in Å³/cell: 65.2
Energy in eV/atom: -33.65


Entry 5:
Below is a crystal of Sr2LuRuO6 relaxed with PBEsol, with properties calculated at the SCAN level. Values from VASP.

The structure in Quantum ESPRESSO input format:
```
&SYSTEM
  ibrav = 0, nat = 20, ntyp = 4
/
ATOMIC_SPECIES
Sr 87.62 Sr.upf
Lu 174.97 Lu.upf
Ru 101.07 Ru.upf
O 16.00 O.upf
CELL_PARAMETERS angstrom
5.694 0.000 0.000
0.000 5.706 0.000
-5.657 0.000 8.046
ATOMIC_POSITIONS crystal
Sr 0.243 0.029 0.249
Sr 0.243 0.471 0.749
Sr 0.757 0.529 0.251
Sr 0.757 0.971 0.751
Lu 0.500 0.000 0.000
Lu 0.500 0.500 0.500
Ru 0.000 0.000 0.500
Ru 0.000 0.500 0.000
O 0.171 0.231 0.965
O 0.171 0.269 0.465
O 0.233 0.708 0.966
O 0.233 0.792 0.466
O 0.303 0.013 0.737
O 0.303 0.487 0.237
O 0.697 0.513 0.763
O 0.697 0.987 0.263
O 0.767 0.208 0.534
O 0.767 0.292 0.034
O 0.829 0.731 0.535
O 0.829 0.769 0.035
```

SG: P2_1/c
V in Å³/cell: 261.4
Energy in eV/atom: -20.03


Entry 6:
Below is a crystal of InSnMo2Pd relaxed with PBEsol, with properties calculated at the SCAN level. Values from VASP.

The structure in Quantum ESPRESSO input format:
```
&SYSTEM
  ibrav = 0, nat = 5, ntyp = 4
/
ATOMIC_SPECIES
In 114.82 In.upf
Sn 118.71 Sn.upf
Mo 95.94 Mo.upf
Pd 106.42 Pd.upf
CELL_PARAMETERS angstrom
4.966 0.000 0.000
0.000 4.966 0.000
0.000 0.000 4.740
ATOMIC_POSITIONS crystal
In 0.000 0.000 0.000
Sn 0.500 0.500 0.500
Mo 0.000 0.500 0.000
Mo 0.500 0.000 0.000
Pd 0.000 0.000 0.500
```

Density of states at the Fermi level in states/eV per atom: 0.72
E_form in kJ/mol of atoms: 160.6
SG: P4/mmm
V in Å³/cell: 116.9
Energy in eV/atom: -32.71


Entry 7:
Below is a crystal of EuMgGa2 relaxed with PBEsol, with properties calculated at the SCAN level. Values from VASP.

The structure in Quantum ESPRESSO input format:
```
&SYSTEM
  ibrav = 0, nat = 8, ntyp = 3
/
ATOMIC_SPECIES
Eu 151.96 Eu.upf
Mg 24.30 Mg.upf
Ga 69.72 Ga.upf
CELL_PARAMETERS angstrom
2.379 -5.403 0.000
2.379 5.403 0.000
0.000 0.000 6.663
ATOMIC_POSITIONS crystal
Eu 0.105 0.895 0.750
Eu 0.895 0.105 0.250
Mg 0.198 0.802 0.250
Mg 0.802 0.198 0.750
Ga 0.389 0.611 0.556
Ga 0.389 0.611 0.944
Ga 0.611 0.389 0.056
Ga 0.611 0.389 0.444
```

Density of states at the Fermi level in states/eV per atom: 1.38
E_form in kJ/mol of atoms: -44.7
SG: Cmcm
V in Å³/cell: 171.3
Energy in eV/atom: -23.31


Entry 8:
Below is a crystal of RbAlSi3O8 relaxed with PBEsol, with properties calculated at the SCAN level. Values from VASP.

The structure in Quantum ESPRESSO input format:
```
&SYSTEM
  ibrav = 0, nat = 26, ntyp = 4
/
ATOMIC_SPECIES
Rb 85.47 Rb.upf
Al 26.98 Al.upf
Si 28.09 Si.upf
O 16.00 O.upf
CELL_PARAMETERS angstrom
7.299 0.000 0.000
-1.874 7.513 0.000
-2.016 -3.553 6.899
ATOMIC_POSITIONS crystal
Rb 0.140 0.295 0.284
Rb 0.860 0.705 0.716
Al 0.217 0.820 0.202
Al 0.783 0.180 0.798
Si 0.233 0.197 0.827
Si 0.340 0.599 0.843
Si 0.351 0.833 0.602
Si 0.649 0.167 0.398
Si 0.660 0.401 0.157
Si 0.767 0.803 0.173
O 0.017 0.149 0.852
O 0.219 0.666 0.980
O 0.240 0.988 0.685
O 0.255 0.722 0.368
O 0.273 0.354 0.736
O 0.282 0.652 0.661
O 0.404 0.059 0.304
O 0.412 0.297 0.044
O 0.588 0.703 0.956
O 0.596 0.941 0.696
O 0.718 0.348 0.339
O 0.727 0.646 0.264
O 0.745 0.278 0.632
O 0.760 0.012 0.315
O 0.781 0.334 0.020
O 0.983 0.851 0.148
```

Density of states at the Fermi level in states/eV per atom: 0.00
SG: P-1
V in Å³/cell: 378.3
Energy in eV/atom: -11.42


What is the formula in the fifth record?
Sr2LuRuO6